1.
Computed, not measured: a relaxed Tb2TiHg crystal at the PBE level of DFT.

Summary:
**Calculated formation energy**: 30 kJ per mole of atoms
**Calculated density**: 8.78 g/cm3
**Energy above the lowest structure with this stoichiometry**: 1.643 eV/f.u.
**D(E_F)**: 1.467 states/eV per atom
**Calculated total energy**: -4.05 eV/atom

```
data_Tb2TiHg
_symmetry_space_group_name_H-M 'R -3 m'
_symmetry_Int_Tables_number 166
_symmetry_space_group_name_Hall '-R 3 2"'
_cell_length_a 3.3345
_cell_length_b 3.3345
_cell_length_c 33.3616
_cell_angle_alpha 90.00
_cell_angle_beta 90.00
_cell_angle_gamma 120.00
loop_
_atom_site_label
_atom_site_type_symbol
_atom_site_fract_x
_atom_site_fract_y
_atom_site_fract_z
Tb1 Tb 0.0000 0.0000 0.0890
Ti1 Ti 0.0000 0.0000 0.0000
Hg1 Hg 0.0000 0.0000 0.5000
```

2.
Computed, not measured: a relaxed Y2TaAl crystal at the PBE level of DFT.

Summary:
**Calculated formation energy**: 14 kJ per mole of atoms
**Calculated density**: 6.84 g/cm3
**D(E_F)**: 1.332 states/eV per atom
**Calculated total energy**: -6.98 eV/atom

```
data_Y2TaAl
_symmetry_space_group_name_H-M 'C m m m'
_symmetry_Int_Tables_number 65
_symmetry_space_group_name_Hall '-C 2 2'
_cell_length_a 6.5416
_cell_length_b 9.0716
_cell_length_c 3.1542
_cell_angle_alpha 90.00
_cell_angle_beta 90.00
_cell_angle_gamma 90.00
loop_
_atom_site_label
_atom_site_type_symbol
_atom_site_fract_x
_atom_site_fract_y
_atom_site_fract_z
Y1 Y 0.2500 0.2500 0.0000
Ta1 Ta 0.0000 0.0000 0.5000
Al1 Al 0.0000 0.5000 0.5000
```

3.
Computed, not measured: a relaxed Er2Mg2Co crystal at the PBE level of DFT.

Summary:
**Calculated formation energy**: -15 kJ per mole of atoms
**Calculated density**: 6.44 g/cm3
**D(E_F)**: 0.494 states/eV per atom
**Calculated total energy**: -4.04 eV/atom

```
data_Er2Mg2Co
_symmetry_space_group_name_H-M 'I 4/m m m'
_symmetry_Int_Tables_number 139
_symmetry_space_group_name_Hall '-I 4 2'
_cell_length_a 3.3521
_cell_length_b 3.3521
_cell_length_c 20.2829
_cell_angle_alpha 90.00
_cell_angle_beta 90.00
_cell_angle_gamma 90.00
loop_
_atom_site_label
_atom_site_type_symbol
_atom_site_fract_x
_atom_site_fract_y
_atom_site_fract_z
Er1 Er 0.0000 0.0000 0.0793
Mg1 Mg 0.0000 0.0000 0.2996
Co1 Co 0.0000 0.0000 0.5000
```

4.
Computed, not measured: a relaxed LaCuBr6 crystal at the PBE level of DFT.

Summary:
**Calculated density**: 3.86 g/cm3
**D(E_F)**: 0.053 states/eV per atom
**Calculated total energy**: -3.36 eV/atom
**Uncorrected formation energy**: -977 meV/atom

```
data_LaCuBr6
_symmetry_space_group_name_H-M 'P -1'
_symmetry_Int_Tables_number 2
_cell_length_a 5.2861
_cell_length_b 7.3289
_cell_length_c 8.1450
_cell_angle_alpha 72.99
_cell_angle_beta 77.05
_cell_angle_gamma 89.40
loop_
_symmetry_equiv_pos_as_xyz
'x,y,z'
'-x,-y,-z'
loop_
_atom_site_label
_atom_site_type_symbol
_atom_site_fract_x
_atom_site_fract_y
_atom_site_fract_z
La1 La 0.0000 0.0000 0.0000
Cu1 Cu 0.5000 0.5000 0.0000
Br1 Br 0.0097 0.8216 0.3651
Br2 Br 0.2541 0.4072 0.8195
Br3 Br 0.4966 0.8257 0.8408
```

5.
Computed, not measured: a relaxed BaCrPd3 crystal at the PBE level of DFT.

Summary:
**Calculated formation energy**: 23 kJ per mole of atoms
**Calculated density**: 7.59 g/cm3
**Energy above the lowest structure with this stoichiometry**: 0.000 eV/f.u.
**D(E_F)**: 1.317 states/eV per atom
**Calculated total energy**: -5.19 eV/atom

```
data_BaCrPd3
_symmetry_space_group_name_H-M 'P m -3 m'
_symmetry_Int_Tables_number 221
_symmetry_space_group_name_Hall '-P 4 2 3'
_cell_length_a 4.8097
_cell_length_b 4.8097
_cell_length_c 4.8097
_cell_angle_alpha 90.00
_cell_angle_beta 90.00
_cell_angle_gamma 90.00
loop_
_atom_site_label
_atom_site_type_symbol
_atom_site_fract_x
_atom_site_fract_y
_atom_site_fract_z
Ba1 Ba 0.0000 0.0000 0.0000
Cr1 Cr 0.5000 0.5000 0.5000
Pd1 Pd 0.0000 0.5000 0.5000
```

6.
Computed, not measured: a relaxed CaTaSn3 crystal at the PBE level of DFT.

Summary:
**Calculated formation energy**: 8 kJ per mole of atoms
**Calculated density**: 6.13 g/cm3
**Energy above the lowest structure with this stoichiometry**: 0.000 eV/f.u.
**D(E_F)**: 0.682 states/eV per atom
**Calculated total energy**: -5.09 eV/atom

```
data_CaTaSn3
_symmetry_space_group_name_H-M 'P m -3 m'
_symmetry_Int_Tables_number 221
_symmetry_space_group_name_Hall '-P 4 2 3'
_cell_length_a 5.3877
_cell_length_b 5.3877
_cell_length_c 5.3877
_cell_angle_alpha 90.00
_cell_angle_beta 90.00
_cell_angle_gamma 90.00
loop_
_atom_site_label
_atom_site_type_symbol
_atom_site_fract_x
_atom_site_fract_y
_atom_site_fract_z
Ca1 Ca 0.0000 0.0000 0.0000
Ta1 Ta 0.5000 0.5000 0.5000
Sn1 Sn 0.0000 0.5000 0.5000
```

Question: Among the records above, which one has the highest D(E_F)?
Answer: Tb2TiHg

Question: Number 6 is which compound?
Answer: CaTaSn3

Copy entry 6 word for word.
Computed, not measured: a relaxed CaTaSn3 crystal at the PBE level of DFT.

Summary:
**Calculated formation energy**: 8 kJ per mole of atoms
**Calculated density**: 6.13 g/cm3
**Energy above the lowest structure with this stoichiometry**: 0.000 eV/f.u.
**D(E_F)**: 0.682 states/eV per atom
**Calculated total energy**: -5.09 eV/atom

```
data_CaTaSn3
_symmetry_space_group_name_H-M 'P m -3 m'
_symmetry_Int_Tables_number 221
_symmetry_space_group_name_Hall '-P 4 2 3'
_cell_length_a 5.3877
_cell_length_b 5.3877
_cell_length_c 5.3877
_cell_angle_alpha 90.00
_cell_angle_beta 90.00
_cell_angle_gamma 90.00
loop_
_atom_site_label
_atom_site_type_symbol
_atom_site_fract_x
_atom_site_fract_y
_atom_site_fract_z
Ca1 Ca 0.0000 0.0000 0.0000
Ta1 Ta 0.5000 0.5000 0.5000
Sn1 Sn 0.0000 0.5000 0.5000
```